Na2NpV2O6 | Alexandria via LeMat-Bulk | GGA+U | optimized geometry; crystal system = monoclinic; theoretical density = 5.4 g cm⁻³; final energy = -7.675 eV/atom; M_tot = 7.000 μB per cell
1.0
2.764 -4.761 0.000
2.764 4.761 0.000
-1.990 0.000 5.600
Na Np V O
2 1 2 6
direct
0.177 0.823 0.000 Na
0.823 0.177 0.000 Na
0.000 0.000 0.500 Np
0.335 0.665 0.500 V
0.665 0.335 0.500 V
0.057 0.410 0.694 O
0.266 0.266 0.305 O
0.410 0.057 0.694 O
0.590 0.943 0.306 O
0.734 0.734 0.695 O
0.943 0.590 0.306 O